{"formula": "Mg2NbInB", "functional": "meta-GGA SCAN", "state": "single point on PBEsol structure", "vol_a3_per_cell": 87.5, "magmom_total_mub_per_cell": 0.00, "e_tot_ev_per_atom": -16.7374, "lattice_angstrom": [[4.430, 0.000, 0.000], [0.000, 4.430, 0.000], [0.000, 0.000, 4.456]], "species": ["Nb", "B", "Mg", "Mg", "In"], "fractional_positions": [[0.000, 0.000, 0.500], [0.000, 0.000, 0.000], [0.000, 0.500, 0.000], [0.500, 0.000, 0.000], [0.500, 0.500, 0.500]]}

---

{"formula": "TaTeSeN2", "functional": "meta-GGA SCAN", "state": "single point on PBEsol structure", "formation_energy_uncorrected_mev_per_atom": 269, "vol_a3_per_cell": 87.2, "magmom_total_mub_per_cell": 0.32, "e_tot_ev_per_atom": -28.2305, "lattice_angstrom": [[4.035, 0.000, 0.000], [0.000, 4.035, 0.000], [0.000, 0.000, 5.355]], "species": ["N", "N", "Te", "Se", "Ta"], "fractional_positions": [[0.000, 0.500, 0.000], [0.500, 0.000, 0.000], [0.500, 0.500, 0.500], [0.000, 0.000, 0.500], [0.000, 0.000, 0.000]]}

---

{"formula": "MnB2Mo2", "functional": "meta-GGA SCAN", "state": "single point on PBEsol structure", "vol_a3_per_cell": 103.2, "magmom_total_mub_per_cell": 5.23, "e_tot_ev_per_atom": -21.0795, "lattice_angstrom": [[3.133, 0.000, 0.000], [0.000, 5.740, 0.000], [0.000, 0.000, 5.740]], "species": ["Mo", "Mo", "Mo", "Mo", "Mn", "Mn", "B", "B", "B", "B"], "fractional_positions": [[0.500, 0.178, 0.678], [0.500, 0.678, 0.822], [0.500, 0.822, 0.322], [0.500, 0.322, 0.178], [0.000, 0.000, 0.000], [0.000, 0.500, 0.500], [0.000, 0.386, 0.886], [0.000, 0.886, 0.614], [0.000, 0.614, 0.114], [0.000, 0.114, 0.386]]}

---

{"formula": "MnNiSb2I", "functional": "meta-GGA SCAN", "state": "single point on PBEsol structure", "formation_energy_uncorrected_mev_per_atom": 500, "vol_a3_per_cell": 125.9, "magmom_total_mub_per_cell": 4.33, "e_tot_ev_per_atom": -28.6386, "lattice_angstrom": [[-0.401, 0.726, 4.789], [1.950, -4.375, 0.826], [4.861, 2.181, 0.076]], "species": ["I", "Sb", "Sb", "Mn", "Ni"], "fractional_positions": [[0.000, 0.000, 0.500], [0.000, 0.500, 0.000], [0.500, 0.000, 0.000], [0.500, 0.500, 0.500], [0.000, 0.000, 0.000]]}

---

{"formula": "Li2TlTc", "functional": "meta-GGA SCAN", "state": "single point on PBEsol structure", "vol_a3_per_cell": 65.2, "magmom_total_mub_per_cell": 0.00, "e_tot_ev_per_atom": -27.8306, "lattice_angstrom": [[2.806, 0.001, 0.000], [-0.225, 4.901, 0.000], [-1.290, -2.451, 4.746]], "species": ["Li", "Li", "Tc", "Tl"], "fractional_positions": [[0.000, 0.000, 0.500], [0.500, 0.500, 0.500], [0.500, 0.000, 0.000], [0.000, 0.500, 0.000]]}

---

{"formula": "TaVO4", "functional": "meta-GGA SCAN", "state": "single point on PBEsol structure", "formation_energy_uncorrected_mev_per_atom": -2863, "vol_a3_per_cell": 65.3, "magmom_total_mub_per_cell": 2.00, "e_tot_ev_per_atom": -21.0293, "lattice_angstrom": [[-2.033, -1.857, 1.179], [3.412, -2.922, 1.279], [0.304, 2.256, 4.078]], "species": ["Ta", "O", "O", "O", "O", "V"], "fractional_positions": [[0.000, 0.000, 0.000], [0.500, 0.199, 0.801], [0.500, 0.801, 0.199], [0.000, 0.303, 0.303], [0.000, 0.697, 0.697], [0.500, 0.500, 0.500]]}

---

{"formula": "SrLa4TiAl4O15", "functional": "meta-GGA SCAN", "state": "single point on PBEsol structure", "formation_energy_uncorrected_mev_per_atom": -3630, "vol_a3_per_cell": 273.8, "magmom_total_mub_per_cell": 0.00, "e_tot_ev_per_atom": -17.0382, "lattice_angstrom": [[3.809, 0.000, 0.000], [0.000, 5.356, 0.000], [0.000, -2.678, 13.424]], "species": ["Sr", "La", "La", "La", "La", "Ti", "Al", "Al", "Al", "Al", "O", "O", "O", "O", "O", "O", "O", "O", "O", "O", "O", "O", "O", "O", "O"], "fractional_positions": [[0.000, 0.000, 0.000], [0.000, 0.397, 0.794], [0.000, 0.800, 0.600], [0.000, 0.200, 0.400], [0.000, 0.603, 0.206], [0.500, 0.500, 0.000], [0.500, 0.899, 0.797], [0.500, 0.299, 0.598], [0.500, 0.701, 0.402], [0.500, 0.101, 0.203], [0.500, 0.900, 0.302], [0.500, 0.100, 0.698], [0.500, 0.500, 0.500], [0.500, 0.304, 0.105], [0.500, 0.696, 0.895], [0.500, 0.801, 0.105], [0.500, 0.000, 0.500], [0.500, 0.402, 0.302], [0.500, 0.199, 0.895], [0.500, 0.598, 0.698], [0.000, 0.103, 0.207], [0.000, 0.300, 0.600], [0.000, 0.700, 0.400], [0.000, 0.500, 0.000], [0.000, 0.897, 0.793]]}

---

{"formula": "CaLaPt2", "functional": "meta-GGA SCAN", "state": "single point on PBEsol structure", "vol_a3_per_cell": 80.1, "magmom_total_mub_per_cell": 0.00, "e_tot_ev_per_atom": -49.0425, "lattice_angstrom": [[4.839, 0.000, 0.000], [2.420, 4.191, 0.000], [2.420, 1.397, 3.951]], "species": ["Ca", "Pt", "Pt", "La"], "fractional_positions": [[0.500, 0.500, 0.500], [0.000, 0.000, 0.000], [0.750, 0.750, 0.750], [0.250, 0.250, 0.250]]}

---

{"formula": "Zn3OsCl", "functional": "meta-GGA SCAN", "state": "single point on PBEsol structure", "formation_energy_uncorrected_mev_per_atom": 678, "vol_a3_per_cell": 110.8, "magmom_total_mub_per_cell": 1.36, "e_tot_ev_per_atom": -23.4025, "lattice_angstrom": [[4.802, 0.000, 0.000], [0.000, 4.802, 0.000], [0.000, 0.000, 4.802]], "species": ["Zn", "Zn", "Zn", "Os", "Cl"], "fractional_positions": [[0.000, 0.500, 0.000], [0.000, 0.000, 0.500], [0.500, 0.000, 0.000], [0.000, 0.000, 0.000], [0.500, 0.500, 0.500]]}

---

{"formula": "Ta2Cd", "functional": "meta-GGA SCAN", "state": "single point on PBEsol structure", "vol_a3_per_cell": 55.0, "magmom_total_mub_per_cell": 0.00, "e_tot_ev_per_atom": -54.2390, "lattice_angstrom": [[2.978, 0.000, 0.000], [0.000, 3.954, 0.000], [-1.489, -1.977, 4.675]], "species": ["Cd", "Ta", "Ta"], "fractional_positions": [[0.000, 0.000, 0.000], [0.672, 0.672, 0.344], [0.328, 0.328, 0.656]]}

---

{"formula": "Si2IrW", "functional": "meta-GGA SCAN", "state": "single point on PBEsol structure", "formation_energy_uncorrected_mev_per_atom": -313, "e_above_lowest_polymorph_ev_per_fu": 0.00, "vol_a3_per_cell": 54.2, "magmom_total_mub_per_cell": 0.00, "e_tot_ev_per_atom": -40.5177, "lattice_angstrom": [[2.832, 0.000, 0.000], [0.000, 4.470, -0.011], [-1.416, -1.317, 4.286]], "species": ["Ir", "Si", "Si", "W"], "fractional_positions": [[0.745, 0.175, 0.490], [0.000, 0.058, 0.000], [0.252, 0.698, 0.504], [0.503, 0.569, 0.006]]}

---

{"formula": "Sc2AsPb", "functional": "meta-GGA SCAN", "state": "single point on PBEsol structure", "e_above_lowest_polymorph_ev_per_fu": 0.00, "vol_a3_per_cell": 89.8, "magmom_total_mub_per_cell": 0.00, "e_tot_ev_per_atom": -32.1533, "lattice_angstrom": [[3.725, 0.000, 0.000], [1.863, 3.226, 0.000], [1.863, 1.075, 7.474]], "species": ["Pb", "Sc", "Sc", "As"], "fractional_positions": [[0.500, 0.500, 0.500], [0.266, 0.266, 0.203], [0.734, 0.734, 0.797], [0.000, 0.000, 0.000]]}

---

{"formula": "SrAsO2", "functional": "meta-GGA SCAN", "state": "single point on PBEsol structure", "formation_energy_uncorrected_mev_per_atom": -1421, "vol_a3_per_cell": 142.9, "magmom_total_mub_per_cell": 0.00, "e_tot_ev_per_atom": -15.1534, "lattice_angstrom": [[-2.341, -3.667, 2.199], [4.007, -1.006, 2.587], [-2.673, 6.100, 1.921]], "species": ["Sr", "Sr", "As", "As", "O", "O", "O", "O"], "fractional_positions": [[0.250, 0.750, 0.500], [0.000, 0.000, 0.000], [0.750, 0.250, 0.500], [0.500, 0.500, 0.000], [0.429, 0.875, 0.250], [0.821, 0.375, 0.250], [0.125, 0.179, 0.750], [0.625, 0.571, 0.750]]}